Entry 1:
A plane-wave DFT calculation with PBE with a Hubbard U was carried out for a geometry-optimized Zn2CoP2O8 structure.

Its uncorrected energy is -164.78 eV for the cell shown.

The space group is P2_1/c (No. 14) and the conventional cell measures 5.059, 8.365 and 8.651 Å, with angles of 90.00, 121.06 and 90.00 degrees. Symmetry generates all atoms from Zn at (0.030, 0.137, 0.121), Co at (0.000, 0.000, 0.500), P at (0.350, 0.693, 0.808), O at (0.197, 0.579, 0.644), O at (0.201, 0.637, 0.250), O at (0.295, 0.637, 0.958) and O at (0.300, 0.197, 0.623).

=====

Entry 2:
A plane-wave DFT calculation with PBE with a Hubbard U was carried out for a geometry-optimized ZnCoP2O7 structure.

Its uncorrected energy is -291.04 eV for the cell shown.

The space group is P2_1/c (No. 14) and the conventional cell measures 6.983, 8.314 and 8.986 Å, with angles of 90.00, 113.62 and 90.00 degrees. Symmetry generates all atoms from Zn at (0.201, 0.059, 0.322), Co at (0.265, 0.069, 0.893), P at (0.032, 0.725, 0.968), P at (0.445, 0.734, 0.262), O at (0.016, 0.090, 0.656), O at (0.055, 0.610, 0.400), O at (0.126, 0.234, 0.452), O at (0.251, 0.672, 0.103), O at (0.378, 0.245, 0.297), O at (0.396, 0.609, 0.821) and O at (0.481, 0.595, 0.382).